[1]
First-principles (PBE-GGA) data for a relaxed structure of Te3BrO, as listed in the Alexandria database.

## Properties
The space group is No. 14. As for the energy relative to the lowest polymorph listed for this composition: 0.00 eV/f.u.

Cell lengths 12.014, 6.452, 8.127 Å; angles 90.00, 93.64, 90.00 degrees
Sites, in units of the cell vectors:
Te 0.006 0.204 0.284
Te 0.006 0.296 0.784
Te 0.227 0.612 0.287
Te 0.227 0.888 0.787
Te 0.306 0.520 0.950
Te 0.306 0.980 0.450
Te 0.694 0.020 0.550
Te 0.694 0.480 0.050
Te 0.773 0.112 0.213
Te 0.773 0.388 0.713
Te 0.994 0.704 0.216
Te 0.994 0.796 0.716
Br 0.395 0.150 0.172
Br 0.395 0.350 0.672
Br 0.605 0.650 0.328
Br 0.605 0.850 0.828
O 0.007 0.734 0.981
O 0.007 0.766 0.481
O 0.993 0.234 0.519
O 0.993 0.266 0.019

[2]
First-principles (PBE-GGA) data for a relaxed structure of Te2BrO, as listed in the Alexandria database.

## Properties
The space group is No. 225. As for the energy relative to the lowest polymorph listed for this composition: 2.96 eV/f.u.

Cell lengths 4.939, 4.939, 4.939 Å; angles 60.00, 60.00, 60.00 degrees
Sites, in units of the cell vectors:
Te 0.250 0.250 0.250
Te 0.750 0.750 0.750
Br 0.000 0.000 0.000
O 0.500 0.500 0.500